[1]
The following is a PBE calculation of a geometry-optimized Pd structure, from OQMD via LeMat-Bulk.

Formation energy (eV per formula unit): 0.3
Relative energy among the computed polymorphs (eV per atom): 0.286

a b c (Å): 4.823 4.823 3.837
angles (deg): 90.00 90.00 133.11
Fractional coordinates of all 4 atoms:
Pd1 0.140 0.860 0.999
Pd2 0.360 0.640 0.499
Pd3 0.640 0.360 0.501
Pd4 0.860 0.140 0.001

=====

[2]
The following is a PBE calculation of a geometry-optimized Ba2Cd2As2O structure, from OQMD via LeMat-Bulk.

Relative energy among the computed polymorphs (eV per atom): 0.000

a b c (Å): 4.568 4.568 20.506
angles (deg): 90.00 90.00 120.00
Fractional coordinates of all 14 atoms:
Ba1 0.000 0.000 0.000
Ba2 0.000 0.000 0.250
Ba3 0.000 0.000 0.500
Ba4 0.000 0.000 0.750
Cd1 0.333 0.667 0.136
Cd2 0.333 0.667 0.364
Cd3 0.667 0.333 0.636
Cd4 0.667 0.333 0.864
As1 0.333 0.667 0.602
As2 0.333 0.667 0.898
As3 0.667 0.333 0.102
As4 0.667 0.333 0.398
O1 0.333 0.667 0.250
O2 0.667 0.333 0.750

=====

[3]
The following is a PBE calculation of a geometry-optimized LiMgZnNi structure, from OQMD via LeMat-Bulk.

Relative energy among the computed polymorphs (eV per atom): 0.000
M_tot (μB per atom): 0.000

a b c (Å): 4.267 4.267 4.267
angles (deg): 60.00 60.00 60.00
Fractional coordinates of all 4 atoms:
Li1 0.000 0.000 0.000
Mg1 0.750 0.750 0.750
Zn1 0.250 0.250 0.250
Ni1 0.500 0.500 0.500

=====

[4]
The following is a PBE calculation of a geometry-optimized CdSi2Ni10 structure, from OQMD via LeMat-Bulk.

M_tot (μB per atom): 0.002

a b c (Å): 8.125 8.125 4.619
angles (deg): 90.00 90.00 90.00
Fractional coordinates of all 26 atoms:
Cd1 0.250 0.250 0.209
Cd2 0.750 0.750 0.791
Si1 0.000 0.000 0.500
Si2 0.000 0.500 0.500
Si3 0.500 0.000 0.500
Si4 0.500 0.500 0.500
Ni1 0.000 0.000 0.000
Ni2 0.000 0.500 0.000
Ni3 0.033 0.250 0.727
Ni4 0.103 0.750 0.758
Ni5 0.250 0.033 0.727
Ni6 0.250 0.467 0.727
Ni7 0.250 0.603 0.242
Ni8 0.250 0.897 0.242
Ni9 0.397 0.750 0.758
Ni10 0.467 0.250 0.727
Ni11 0.500 0.000 0.000
Ni12 0.500 0.500 0.000
Ni13 0.533 0.750 0.273
Ni14 0.603 0.250 0.242
Ni15 0.750 0.103 0.758
Ni16 0.750 0.397 0.758
Ni17 0.750 0.533 0.273
Ni18 0.750 0.967 0.273
Ni19 0.897 0.250 0.242
Ni20 0.967 0.750 0.273

=====

It is found that the uncorrected energy values, taken in the order of the records, are -19.56; -56.00; -11.08; -140.87 eV/cell.